Below is a crystal of MnTcRh2 relaxed with PBEsol, with properties calculated at the meta-GGA SCAN level.

Cell lengths 4.2718, 4.2718, 4.2718 Å; angles 60.00, 60.00, 60.00 degrees
Sites, in units of the cell vectors:
Mn  0.0000  0.0000  0.0000
Tc  0.5000  0.5000  0.5000
Rh  0.2500  0.2500  0.2500
Rh  0.7500  0.7500  0.7500

Output
The value obtained for the density of states at the Fermi level is 3.83 states/eV per cell. The total energy is -30.25 eV/atom. Its offset from the most stable computed form is 200.4 meV per atom. The calculation puts the formation energy at -0.037 eV/atom. The space group is Fm-3m.